1.
## Er5NiAg4 (GGA-PBE)

Data for an optimized crystal structure of Er5NiAg4.

Values from the calculation:
- Calculated formation energy: -0.35 eV/atom
- Uncorrected energy: -43.5 eV for the cell shown
- Spin magnetization: 0.00 μB per atom
- Crystal system: tetragonal

Cell: 3.5283 3.5283 18.0894 Å, 90.00 90.00 90.00°
With the nearest neighbours (Å) after each atom.
Positions (direct):
Er 0.0000 0.0000 0.0000  8 Ag 3.11
Er 0.0000 0.0000 0.2056  8 Ag 3.10-3.11
Er 0.0000 0.0000 0.4117  4 Ni 2.96, 4 Ag 3.13, 1 Er 3.19
Er 0.0000 0.0000 0.5883  4 Ni 2.96, 4 Ag 3.13, 1 Er 3.19
Er 0.0000 0.0000 0.7944  8 Ag 3.10-3.11
Ni 0.5000 0.5000 0.5000  8 Er 2.96
Ag 0.5000 0.5000 0.1027  8 Er 3.11
Ag 0.5000 0.5000 0.3072  8 Er 3.10-3.13
Ag 0.5000 0.5000 0.6928  8 Er 3.10-3.13
Ag 0.5000 0.5000 0.8973  8 Er 3.11

---

2.
## Pr3DyHo5 (GGA-PBE)

Data for an optimized crystal structure of Pr3DyHo5.

Values from the calculation:
- Calculated formation energy: 0.53 eV/atom
- Uncorrected energy: -74.2 eV for the cell shown
- Spin magnetization: 0.00 μB per atom
- Crystal system: monoclinic

Cell: 9.5655 9.5655 10.0632 Å, 121.63 121.63 72.54°
With the nearest neighbours (Å) after each atom.
Positions (direct):
Pr 0.0000 0.0000 0.0000  2 Pr 3.01, 2 Dy 3.32
Pr 0.0087 0.0087 0.3079  1 Pr 3.01, 3 Ho 3.22-3.35
Pr 0.4748 0.4748 0.1361  1 Dy 3.21, 2 Ho 3.27-3.40, 2 Pr 3.30-3.42
Pr 0.5000 0.5000 0.5000  4 Ho 2.92-3.20
Pr 0.5252 0.5252 0.8639  1 Dy 3.21, 2 Ho 3.27-3.40, 2 Pr 3.30-3.42
Pr 0.9913 0.9913 0.6921  1 Pr 3.01, 3 Ho 3.22-3.35
Dy 0.2528 0.2528 0.1023  4 Pr 3.21-3.41, 2 Ho 3.41-3.46
Dy 0.7472 0.7472 0.8977  4 Pr 3.21-3.41, 2 Ho 3.41-3.46
Ho 0.0895 0.5890 0.7458  3 Ho 3.29-3.66, 2 Pr 3.53-3.63
Ho 0.2164 0.2164 0.7250  3 Pr 3.22-3.40, 3 Ho 3.32-3.33, 1 Dy 3.46
Ho 0.2422 0.7578 0.5000  1 Pr 2.92
Ho 0.2784 0.2784 0.4652  3 Pr 3.20-3.35, 3 Ho 3.29-3.32, 1 Dy 3.41
Ho 0.4110 0.9105 0.2542  3 Ho 3.29-3.66, 2 Pr 3.53-3.63
Ho 0.5890 0.0895 0.7458  3 Ho 3.29-3.66, 2 Pr 3.53-3.63
Ho 0.7216 0.7216 0.5348  3 Pr 3.20-3.35, 3 Ho 3.29-3.32, 1 Dy 3.41
Ho 0.7578 0.2422 0.5000  1 Pr 2.92
Ho 0.7836 0.7836 0.2750  3 Pr 3.22-3.40, 3 Ho 3.32-3.33, 1 Dy 3.46
Ho 0.9105 0.4110 0.2542  3 Ho 3.29-3.66, 2 Pr 3.53-3.63

---

3.
## CsSi2Ge2 (GGA-PBE)

Data for an optimized crystal structure of CsSi2Ge2.

Values from the calculation:
- Uncorrected energy: -20.3 eV for the cell shown
- Energy relative to the elements, uncorrected: 0.120 eV per atom
- Relative energy among the computed polymorphs: 0.343 eV per formula unit
- Spin magnetization: 0.00 μB per atom
- Crystal system: tetragonal

Cell: 8.3928 8.3928 8.3928 Å, 150.68 150.68 41.94°
With the nearest neighbours (Å) after each atom.
Positions (direct):
Cs 0.0000 0.0000 0.0000  8 Si 3.86, 4 Cs 4.25
Si 0.3451 0.3451 0.0000  4 Ge 2.59
Si 0.6549 0.6549 0.0000  4 Ge 2.59
Ge 0.2500 0.7500 0.5000  4 Si 2.59
Ge 0.7500 0.2500 0.5000  4 Si 2.59

---

4.
## PaBrCl3 (GGA-PBE)

Data for an optimized crystal structure of PaBrCl3.

Values from the calculation:
- Uncorrected energy: -23.3 eV for the cell shown
- Energy relative to the elements, uncorrected: -1.320 eV per atom
- Relative energy among the computed polymorphs: 1.420 eV per formula unit
- Spin magnetization: 0.18 μB per atom
- Crystal system: cubic

Cell: 5.3569 5.3569 5.3569 Å, 90.00 90.00 90.00°
With the nearest neighbours (Å) after each atom.
Positions (direct):
Pa 0.0000 0.0000 0.0000  6 Cl 2.68
Br 0.5000 0.5000 0.5000  12 Cl 3.79
Cl 0.0000 0.0000 0.5000  2 Pa 2.68
Cl 0.0000 0.5000 0.0000  2 Pa 2.68
Cl 0.5000 0.0000 0.0000  2 Pa 2.68

---

5.
## CaMn2TeS (GGA-PBE)

Data for an optimized crystal structure of CaMn2TeS.

Values from the calculation:
- Uncorrected energy: -28.5 eV for the cell shown
- Energy relative to the elements, uncorrected: -0.177 eV per atom
- Spin magnetization: 1.60 μB per atom
- Crystal system: tetragonal

Cell: 4.4251 4.4251 7.8120 Å, 90.00 90.00 90.00°
With the nearest neighbours (Å) after each atom.
Positions (direct):
Ca 0.0000 0.0000 0.0000  4 Te 3.13
Mn 0.0000 0.5000 0.5000  2 S 2.21
Mn 0.5000 0.0000 0.5000  2 S 2.21
Te 0.5000 0.5000 0.0000  4 Ca 3.13
S 0.5000 0.5000 0.5000  4 Mn 2.21

---

6.
## NaMoRu2Se (GGA-PBE)

Data for an optimized crystal structure of NaMoRu2Se.

Values from the calculation:
- Uncorrected energy: -22.2 eV for the cell shown
- Energy relative to the elements, uncorrected: 2.400 eV per atom
- Spin magnetization: 0.59 μB per atom
- Crystal system: tetragonal

Cell: 4.5311 4.5311 4.6431 Å, 90.00 90.00 90.00°
With the nearest neighbours (Å) after each atom.
Positions (direct):
Na 0.0000 0.0000 0.0000  4 Ru 2.27, 2 Mo 2.32
Mo 0.0000 0.0000 0.5000  2 Na 2.32
Ru 0.0000 0.5000 0.0000  2 Na 2.27
Ru 0.5000 0.0000 0.0000  2 Na 2.27
Se 0.5000 0.5000 0.5000  4 Mo 3.20, 8 Ru 3.24

---

7.
## PrSmEr4 (GGA-PBE)

Data for an optimized crystal structure of PrSmEr4.

Values from the calculation:
- Calculated formation energy: 0.29 eV/atom
- Uncorrected energy: -26.0 eV for the cell shown
- Relative energy among the computed polymorphs: 1.589 eV per formula unit
- Spin magnetization: 0.61 μB per atom
- Crystal system: cubic

Cell: 6.6149 6.6149 6.6149 Å, 60.00 60.00 60.00°
With the nearest neighbours (Å) after each atom.
Positions (direct):
Pr 0.0000 0.0000 0.0000  12 Er 3.88, 4 Sm 4.05
Sm 0.7500 0.7500 0.7500  12 Er 3.88, 4 Pr 4.05
Er 0.3754 0.3754 0.3754  6 Er 3.30-3.32
Er 0.3754 0.3754 0.8739  6 Er 3.30-3.32
Er 0.3754 0.8739 0.3754  6 Er 3.30-3.32
Er 0.8739 0.3754 0.3754  6 Er 3.30-3.32